(1)
Density functional theory data (GGA-PBE) for crystalline CdSnF at its relaxed geometry.

Computed properties:
* formation energy from raw total energies: -264 kJ/mol of formula units
* symmetry: I4mm, No. 107
* theoretical density: 4.80 g/cm3
* polymorph energy (0 for the lowest one): 0.010 eV/atom

Lattice parameters (Å, degrees): 4.225 4.225 5.697 111.76 111.76 90.00
Sites, in units of the cell vectors:
Cd 0.047 0.047 0.095
Sn 0.509 0.509 0.017
F 0.294 0.294 0.588

***

(2)
Density functional theory data (GGA-PBE) for crystalline CdSnTeF2 at its relaxed geometry.

Computed properties:
* formation energy from raw total energies: -639 kJ/mol of formula units
* symmetry: P4/mmm, No. 123
* theoretical density: 5.35 g/cm3

Lattice parameters (Å, degrees): 4.440 4.440 6.242 90.00 90.00 90.00
Sites, in units of the cell vectors:
F 0.000 0.500 0.000
F 0.500 0.000 0.000
Te 0.000 0.000 0.500
Sn 0.000 0.000 0.000
Cd 0.500 0.500 0.500

***

(3)
Density functional theory data (GGA-PBE) for crystalline Tl3Cd2SnF9 at its relaxed geometry.

Computed properties:
* formation energy from raw total energies: -2942 kJ/mol of formula units
* symmetry: P-3m1, No. 164
* theoretical density: 6.48 g/cm3

Lattice parameters (Å, degrees): 6.423 6.423 8.084 90.00 90.00 120.00
Sites, in units of the cell vectors:
Tl 0.333 0.667 0.714
Tl 0.000 0.000 0.000
Tl 0.667 0.333 0.286
Cd 0.333 0.667 0.167
Cd 0.667 0.333 0.833
Sn 0.000 0.000 0.500
F 0.836 0.164 0.686
F 0.836 0.672 0.686
F 0.328 0.164 0.686
F 0.672 0.836 0.314
F 0.164 0.328 0.314
F 0.164 0.836 0.314
F 0.500 0.000 0.000
F 0.000 0.500 0.000
F 0.500 0.500 0.000

***

Q: Number 2 is which compound?
A: CdSnTeF2